1.
HfTaTc2 | PBE | relaxed

- Symmetry: Fm-3m (225)
- Calculated formation energy: -0.51 eV per atom

Cell lengths 4.549, 4.549, 4.549 Å; angles 60.00, 60.00, 60.00 degrees
Fractional coordinates of all 4 atoms:
Hf  0.000  0.000  0.000
Ta  0.500  0.500  0.500
Tc  0.250  0.250  0.250
Tc  0.750  0.750  0.750

2.
FeB2W2 | PBE | relaxed

- Symmetry: Cmmm (65)
- Total energy: -9.8347 eV per atom

Cell lengths 5.720, 5.720, 3.158 Å; angles 90.00, 90.00, 148.89 degrees
Fractional coordinates of all 5 atoms:
Fe  0.000  0.000  0.000
B  0.204  0.796  0.000
B  0.796  0.204  0.000
W  0.363  0.637  0.500
W  0.637  0.363  0.500

3.
Dy2Y3Tm2Ni2S2 | PBE | relaxed

- Symmetry: Imm2 (44)
- Total energy: -6.0378 eV per atom

Cell lengths 8.906, 8.906, 8.906 Å; angles 155.52, 67.33, 118.37 degrees
Fractional coordinates of all 11 atoms:
Dy  0.120  0.000  0.120
Dy  0.880  0.000  0.880
Y  0.208  0.843  0.365
Y  0.478  0.843  0.635
Y  0.597  0.597  0.000
Tm  0.523  0.207  0.315
Tm  0.892  0.207  0.685
Ni  0.274  0.514  0.760
Ni  0.755  0.514  0.240
S  0.254  0.254  0.000
S  0.842  0.342  0.500

4.
H2PdSe | PBE | relaxed

- Symmetry: R3m (160)
- Total energy: -3.6334 eV per atom

Cell lengths 5.813, 5.813, 5.813 Å; angles 29.98, 29.98, 29.98 degrees
Fractional coordinates of all 4 atoms:
H  0.000  0.000  0.000
H  0.259  0.259  0.259
Pd  0.633  0.633  0.633
Se  0.793  0.793  0.793

5.
Y2SiMo2C2 | PBE | relaxed

- Symmetry: C2/m (12)
- Total energy: -8.6549 eV per atom

Cell lengths 7.073, 7.073, 5.818 Å; angles 112.42, 112.42, 27.09 degrees
Fractional coordinates of all 7 atoms:
Y  0.131  0.131  0.309
Y  0.869  0.869  0.691
Si  0.500  0.500  0.500
Mo  0.327  0.327  0.161
Mo  0.673  0.673  0.839
C  0.250  0.250  0.760
C  0.750  0.750  0.240

6.
Pr3Mg3CdPt2 | PBE | relaxed

- Symmetry: P-62m (189)
- Total energy: -4.2091 eV per atom

Cell lengths 7.722, 7.722, 4.235 Å; angles 90.00, 90.00, 120.00 degrees
Fractional coordinates of all 9 atoms:
Pr  0.000  0.423  0.000
Pr  0.423  0.000  0.000
Pr  0.577  0.577  0.000
Mg  0.000  0.746  0.500
Mg  0.254  0.254  0.500
Mg  0.746  0.000  0.500
Cd  0.000  0.000  0.000
Pt  0.333  0.667  0.500
Pt  0.667  0.333  0.500

What did we get for V? Answer: 16.64; 10.68; 23.22; 10.87; 17.42; 24.30 Å³ per atom, in the order shown.
What did we get for density? Answer: 13.860; 13.844; 7.225; 7.160; 5.745; 7.579 g/cm3, in the order shown.